VASP calculation (PBE-GGA) on a relaxed structure of HoThTcPt.

POSCAR file:
```
HoThTcPt
1.0
0.000 3.522 3.522
3.522 0.000 3.522
3.522 3.522 0.000
Ho Th Tc Pt
1 1 1 1
Direct
0.000 0.000 0.000
0.500 0.500 0.500
0.250 0.250 0.250
0.750 0.750 0.750
```

Computed properties:
The formation energy comes out at -0.574 eV/atom. The density of states at the Fermi level comes out at 2.7 states/eV per cell. The crystal system is cubic. The calculation puts the uncorrected energy at -7.67 eV/atom. The volume comes out at 21.849 Å³ per atom.